w) The following is a PBE calculation of ScNb2Tc after structural relaxation, from Alexandria.

Structure (CIF):
```
data_ScNb2Tc
_chemical_formula_sum 'Sc4 Nb8 Tc4'
_space_group_name_H-M_alt 'I -4 2 d'
_space_group_IT_number 122
_space_group_name_Hall 'I -4 2bw'
_cell_length_a 7.466
_cell_length_b 7.466
_cell_length_c 5.631
_cell_angle_alpha 90.00
_cell_angle_beta 90.00
_cell_angle_gamma 90.00
loop_
_atom_site_label
_atom_site_type_symbol
_atom_site_fract_x
_atom_site_fract_y
_atom_site_fract_z
Sc1 Sc 0.000 0.000 0.000
Nb1 Nb 0.207 0.250 0.625
Tc1 Tc 0.000 0.000 0.500
```

Total magnetization   0.0 μB/f.u.

x) The following is a PBE calculation of ScNb2Tc after structural relaxation, from Alexandria.

Structure (CIF):
```
data_ScNb2Tc
_chemical_formula_sum 'Sc2 Nb4 Tc2'
_space_group_name_H-M_alt 'I m m m'
_space_group_IT_number 71
_space_group_name_Hall '-I 2 2'
_cell_length_a 3.259
_cell_length_b 4.668
_cell_length_c 9.451
_cell_angle_alpha 90.00
_cell_angle_beta 90.00
_cell_angle_gamma 90.00
loop_
_atom_site_label
_atom_site_type_symbol
_atom_site_fract_x
_atom_site_fract_y
_atom_site_fract_z
Sc1 Sc 0.000 0.000 0.000
Nb1 Nb 0.000 0.500 0.229
Tc1 Tc 0.000 0.000 0.500
```

Total magnetization   0.0 μB/f.u.

Energies, relative to the best one, in kJ/mol of atoms: w) 48.5; x) 0.0.